The following is a meta-GGA SCAN calculation of a crystal of LiTaPO2 relaxed with PBEsol, from the Alexandria database.

Cell lengths 3.8715, 3.8715, 5.1873 Å; angles 90.00, 90.00, 90.00 degrees
Last column: nearest neighbours and their distance in Å.
Space group P4/mmm (No. 123)
Symmetry-distinct sites (fractional):
Li: 0.0000 0.0000 0.0000 x1  4 P 2.74
Ta: 0.5000 0.5000 0.5000 x1  4 O 1.94
P: 0.5000 0.5000 0.0000 x1  2 Ta 2.59, 4 Li 2.74
O: 0.0000 0.5000 0.5000 x2  2 Ta 1.94

**Formation energy from raw total energies**: -1.616 eV per atom
**Size of the total moment**: 0.1475 μB per atom
**Mass density**: 5.358 g/cm3
**D(E_F)**: 2.3 states/eV/f.u.